Entry one
Tl2CrSn | PBE | optimized geometry

V: 560 Å³/cell
DOS at the Fermi energy: 11.1 states/eV/cell
Space-group type: I-42d (122)
Magnetization: 0.500 μB per atom

Unit cell a=10.4710 b=10.4710 c=5.1080 alpha=90.00 beta=90.00 gamma=90.00
Sites, in units of the cell vectors:
Tl1 0.0020 0.7500 0.1250
Tl2 0.2500 0.0020 0.8750
Tl3 0.2500 0.4980 0.3750
Tl4 0.4980 0.7500 0.6250
Tl5 0.5020 0.2500 0.6250
Tl6 0.7500 0.5020 0.3750
Tl7 0.7500 0.9980 0.8750
Tl8 0.9980 0.2500 0.1250
Cr1 0.0000 0.0000 0.0000
Cr2 0.0000 0.5000 0.2500
Cr3 0.5000 0.0000 0.7500
Cr4 0.5000 0.5000 0.5000
Sn1 0.0000 0.0000 0.5000
Sn2 0.0000 0.5000 0.7500
Sn3 0.5000 0.0000 0.2500
Sn4 0.5000 0.5000 0.0000

---

Entry two
Tl2CrSn | PBE | optimized geometry

V: 414 Å³/cell
DOS at the Fermi energy: 5.6 states/eV/cell
Space-group type: Fm-3m (225)
Magnetization: 1.090 μB per atom

Unit cell a=7.4525 b=7.4525 c=7.4525 alpha=90.00 beta=90.00 gamma=90.00
Sites, in units of the cell vectors:
Tl1 0.2500 0.2500 0.2500
Tl2 0.2500 0.2500 0.7500
Tl3 0.2500 0.7500 0.2500
Tl4 0.2500 0.7500 0.7500
Tl5 0.7500 0.2500 0.2500
Tl6 0.7500 0.2500 0.7500
Tl7 0.7500 0.7500 0.2500
Tl8 0.7500 0.7500 0.7500
Cr1 0.0000 0.0000 0.0000
Cr2 0.0000 0.5000 0.5000
Cr3 0.5000 0.0000 0.5000
Cr4 0.5000 0.5000 0.0000
Sn1 0.0000 0.0000 0.5000
Sn2 0.0000 0.5000 0.0000
Sn3 0.5000 0.0000 0.0000
Sn4 0.5000 0.5000 0.5000

---

Which of them is the most stable, and which is the least stable? entry two and entry one, in that order.

---

Entry one
TlCr2Sn2 | PBE | optimized geometry

V: 213 Å³/cell
DOS at the Fermi energy: 9.7 states/eV/cell
Space-group type: P4/mbm (127)
Magnetization: 0.004 μB per atom

Unit cell a=8.4997 b=8.4997 c=2.9453 alpha=90.00 beta=90.00 gamma=90.00
Sites, in units of the cell vectors:
Tl1 0.0000 0.0000 0.0000
Tl2 0.5000 0.5000 0.0000
Cr1 0.0842 0.4158 0.5000
Cr2 0.4158 0.9158 0.5000
Cr3 0.5842 0.0842 0.5000
Cr4 0.9158 0.5842 0.5000
Sn1 0.1829 0.6829 0.0000
Sn2 0.3171 0.1829 0.0000
Sn3 0.6829 0.8171 0.0000
Sn4 0.8171 0.3171 0.0000

---

Entry two
TlCr2Sn2 | PBE | optimized geometry

V: 223 Å³/cell
DOS at the Fermi energy: 9.0 states/eV/cell
Space-group type: I4/mmm (139)
Magnetization: 0.000 μB per atom

Unit cell a=3.2934 b=3.2934 c=20.5838 alpha=90.00 beta=90.00 gamma=90.00
Sites, in units of the cell vectors:
Tl1 0.0000 0.0000 0.0000
Tl2 0.5000 0.5000 0.5000
Cr1 0.0000 0.5000 0.2500
Cr2 0.0000 0.5000 0.7500
Cr3 0.5000 0.0000 0.2500
Cr4 0.5000 0.0000 0.7500
Sn1 0.0000 0.0000 0.3607
Sn2 0.0000 0.0000 0.6393
Sn3 0.5000 0.5000 0.1393
Sn4 0.5000 0.5000 0.8607

---

Entry three
TlCr2Sn2 | PBE | optimized geometry

V: 217 Å³/cell
DOS at the Fermi energy: 7.0 states/eV/cell
Space-group type: P4/mbm (127)
Magnetization: 1.354 μB per atom

Unit cell a=8.2771 b=8.2771 c=3.1691 alpha=90.00 beta=90.00 gamma=90.00
Sites, in units of the cell vectors:
Tl1 0.0000 0.0000 0.0000
Tl2 0.5000 0.5000 0.0000
Cr1 0.1319 0.3681 0.0000
Cr2 0.3681 0.8681 0.0000
Cr3 0.6319 0.1319 0.0000
Cr4 0.8681 0.6319 0.0000
Sn1 0.1633 0.6633 0.5000
Sn2 0.3367 0.1633 0.5000
Sn3 0.6633 0.8367 0.5000
Sn4 0.8367 0.3367 0.5000

---

Which of them is the most stable, and which is the least stable? entry two and entry one, in that order.

---

Entry one
VCr3Sn | PBE | optimized geometry

V: 85 Å³/cell
DOS at the Fermi energy: 5.1 states/eV/cell
Space-group type: Pm-3m (221)
Magnetization: 1.038 μB per atom

Unit cell a=4.4019 b=4.4019 c=4.4019 alpha=90.00 beta=90.00 gamma=90.00
Sites, in units of the cell vectors:
V1 0.0000 0.0000 0.0000
Cr1 0.0000 0.0000 0.5000
Cr2 0.0000 0.5000 0.0000
Cr3 0.5000 0.0000 0.0000
Sn1 0.5000 0.5000 0.5000

---

Entry two
VCr3Sn | PBE | optimized geometry

V: 135 Å³/cell
DOS at the Fermi energy: 2.9 states/eV/cell
Space-group type: Pm-3m (221)
Magnetization: 3.374 μB per atom

Unit cell a=5.1238 b=5.1238 c=5.1238 alpha=90.00 beta=90.00 gamma=90.00
Sites, in units of the cell vectors:
V1 0.0000 0.0000 0.0000
Cr1 0.0000 0.5000 0.5000
Cr2 0.5000 0.0000 0.5000
Cr3 0.5000 0.5000 0.0000
Sn1 0.5000 0.5000 0.5000

---

Which of them is the most stable, and which is the least stable? entry one and entry two, in that order.

---

Entry one
VCrSn2 | PBE | optimized geometry

V: 334 Å³/cell
DOS at the Fermi energy: 19.0 states/eV/cell
Space-group type: I-42d (122)
Magnetization: 0.294 μB per atom

Unit cell a=7.4983 b=7.4983 c=5.9475 alpha=90.00 beta=90.00 gamma=90.00
Sites, in units of the cell vectors:
V1 0.0000 0.0000 0.0000
V2 0.0000 0.5000 0.2500
V3 0.5000 0.0000 0.7500
V4 0.5000 0.5000 0.5000
Cr1 0.0000 0.0000 0.5000
Cr2 0.0000 0.5000 0.7500
Cr3 0.5000 0.0000 0.2500
Cr4 0.5000 0.5000 0.0000
Sn1 0.2467 0.2500 0.6250
Sn2 0.2500 0.7467 0.8750
Sn3 0.2500 0.7533 0.3750
Sn4 0.2533 0.2500 0.1250
Sn5 0.7467 0.7500 0.1250
Sn6 0.7500 0.2467 0.3750
Sn7 0.7500 0.2533 0.8750
Sn8 0.7533 0.7500 0.6250

---

Entry two
VCrSn2 | PBE | optimized geometry

V: 254 Å³/cell
DOS at the Fermi energy: 8.3 states/eV/cell
Space-group type: R-3m (166)
Magnetization: 1.179 μB per atom

Unit cell a=3.1479 b=3.1479 c=29.6479 alpha=90.00 beta=90.00 gamma=120.00
Sites, in units of the cell vectors:
V1 0.0000 0.0000 0.0000
V2 0.3333 0.6667 0.6667
V3 0.6667 0.3333 0.3333
Cr1 0.0000 0.0000 0.5000
Cr2 0.3333 0.6667 0.1667
Cr3 0.6667 0.3333 0.8333
Sn1 0.0000 0.0000 0.4069
Sn2 0.0000 0.0000 0.5931
Sn3 0.3333 0.6667 0.0736
Sn4 0.3333 0.6667 0.2598
Sn5 0.6667 0.3333 0.7402
Sn6 0.6667 0.3333 0.9264

---

Which of them is the most stable, and which is the least stable? entry one and entry two, in that order.

---

Entry one
VCrSn3 | PBE | optimized geometry

V: 127 Å³/cell
DOS at the Fermi energy: 9.2 states/eV/cell
Space-group type: Pm-3m (221)
Magnetization: 1.101 μB per atom

Unit cell a=5.0292 b=5.0292 c=5.0292 alpha=90.00 beta=90.00 gamma=90.00
Sites, in units of the cell vectors:
V1 0.0000 0.0000 0.0000
Cr1 0.5000 0.5000 0.5000
Sn1 0.0000 0.5000 0.5000
Sn2 0.5000 0.0000 0.5000
Sn3 0.5000 0.5000 0.0000

---

Entry two
VCrSn3 | PBE | optimized geometry

V: 135 Å³/cell
DOS at the Fermi energy: 4.5 states/eV/cell
Space-group type: Pm-3m (221)
Magnetization: 1.183 μB per atom

Unit cell a=5.1299 b=5.1299 c=5.1299 alpha=90.00 beta=90.00 gamma=90.00
Sites, in units of the cell vectors:
V1 0.0000 0.0000 0.0000
Cr1 0.5000 0.5000 0.5000
Sn1 0.0000 0.0000 0.5000
Sn2 0.0000 0.5000 0.0000
Sn3 0.5000 0.0000 0.0000

---

Which of them is the most stable, and which is the least stable? entry two and entry one, in that order.

---

Entry one
CrSn2W2 | PBE | optimized geometry

V: 216 Å³/cell
DOS at the Fermi energy: 9.9 states/eV/cell
Space-group type: I4/mmm (139)
Magnetization: 0.810 μB per atom

Unit cell a=3.6241 b=3.6241 c=16.4135 alpha=90.00 beta=90.00 gamma=90.00
Sites, in units of the cell vectors:
Cr1 0.0000 0.0000 0.0000
Cr2 0.5000 0.5000 0.5000
Sn1 0.0000 0.0000 0.3928
Sn2 0.0000 0.0000 0.6072
Sn3 0.5000 0.5000 0.1072
Sn4 0.5000 0.5000 0.8928
W1 0.0000 0.5000 0.2500
W2 0.0000 0.5000 0.7500
W3 0.5000 0.0000 0.2500
W4 0.5000 0.0000 0.7500

---

Entry two
CrSn2W2 | PBE | optimized geometry

V: 197 Å³/cell
DOS at the Fermi energy: 7.1 states/eV/cell
Space-group type: P4/mbm (127)
Magnetization: 0.699 μB per atom

Unit cell a=7.8966 b=7.8966 c=3.1572 alpha=90.00 beta=90.00 gamma=90.00
Sites, in units of the cell vectors:
Cr1 0.0000 0.0000 0.0000
Cr2 0.5000 0.5000 0.0000
Sn1 0.1779 0.3221 0.0000
Sn2 0.3221 0.8221 0.0000
Sn3 0.6779 0.1779 0.0000
Sn4 0.8221 0.6779 0.0000
W1 0.1135 0.6135 0.5000
W2 0.3865 0.1135 0.5000
W3 0.6135 0.8865 0.5000
W4 0.8865 0.3865 0.5000

---

Which of them is the most stable, and which is the least stable? entry two and entry one, in that order.